The following is a DFT calculation (PBE-GGA) of an optimized crystal structure of TbNdY2Se4.

abc: 7.1730 4.0716 7.1856
angles: 90.00 108.81 90.00
With the nearest neighbours (Å) after each atom.
Sites, in units of the cell vectors:
Tb: 0.0000 0.0000 0.0000  6 Se 2.92
Nd: 0.0000 0.5000 0.5000  6 Se 2.97
Y: 0.5000 0.0000 0.5000  6 Se 2.91-2.92
Y: 0.5000 0.5000 0.0000  6 Se 2.87
Se: 0.2548 0.5000 0.2462  3 Y 2.87-2.91, 2 Tb 2.92, 1 Nd 2.97
Se: 0.2590 0.0000 0.7585  3 Y 2.87-2.92, 1 Tb 2.92, 2 Nd 2.97
Se: 0.7410 0.0000 0.2415  3 Y 2.87-2.92, 1 Tb 2.92, 2 Nd 2.97
Se: 0.7452 0.5000 0.7538  3 Y 2.87-2.91, 2 Tb 2.92, 1 Nd 2.97

formation energy without anion corrections	-1.782	eV per atom
energy	-6.32	eV/atom
V	24.83	Å³/atom
SG	P2/m
magnetization	0.000	μB per formula unit